An optimized crystal structure of RbLa2GaTc. Source: Alexandria, functional GGA-PBE.

abc: 5.3329 5.3329 6.3533
angles: 90.00 90.00 90.00
Space group P4/mmm (No. 123)
Asymmetric unit:
Rb: 0.0000 0.0000 0.0000 (multiplicity 1)
La: 0.0000 0.5000 0.5000 (multiplicity 2)
Ga: 0.5000 0.5000 0.0000 (multiplicity 1)
Tc: 0.0000 0.0000 0.5000 (multiplicity 1)

Summary:
Crystal system   tetragonal
ΔH_f (0 K)   0.4541 eV per atom
Density   4.88 Mg/m³